No. 1
This record from Alexandria via LeMat-Bulk describes a geometry-optimized SnBiPd5 structure. The functional is PBE.

```
14
Lattice="3.614 -3.880 0.000 3.614 3.880 0.000 -3.373 0.000 8.962" Properties=species:S:1:pos:R:3 pbc="T T T"
Sn 1.085 3.850 6.721
Sn 2.771 -3.850 2.240
Bi 3.614 0.000 0.000
Bi 1.928 0.000 4.481
Pd -0.438 2.706 8.632
Pd -0.085 1.430 5.904
Pd 2.608 2.706 4.811
Pd 2.771 1.247 2.240
Pd 1.601 -1.430 1.423
Pd 2.254 1.430 7.539
Pd 1.085 -1.247 6.721
Pd 1.248 -2.706 4.151
Pd 3.941 -1.430 3.058
Pd 4.294 -2.706 0.330
```

Computed properties:
Density of states at the Fermi level, states/eV/atom: 0.61
Energy relative to the lowest polymorph listed for this composition, meV per atom: 2.5
DFT formation energy, eV/atom: -0.334
Symmetry: No. 15

No. 2
This record from Alexandria via LeMat-Bulk describes a geometry-optimized SnBi2Pd4 structure. The functional is PBE.

```
14
Lattice="4.540 0.000 0.000 0.000 20.493 0.000 0.000 0.000 3.336" Properties=species:S:1:pos:R:3 pbc="T T T"
Sn 0.000 0.000 0.000
Sn 2.270 10.246 0.000
Bi 0.000 6.406 1.668
Bi 0.000 14.087 1.668
Bi 2.270 3.840 1.668
Bi 2.270 16.653 1.668
Pd 0.000 2.172 1.668
Pd 0.000 8.726 0.000
Pd 0.000 11.767 0.000
Pd 0.000 18.321 1.668
Pd 2.270 1.521 0.000
Pd 2.270 8.075 1.668
Pd 2.270 12.418 1.668
Pd 2.270 18.972 0.000
```

Computed properties:
Density of states at the Fermi level, states/eV/atom: 0.41
DFT formation energy, eV/atom: -0.259
Symmetry: No. 65

Number 1: M_tot 0.0 μB per formula unit. Number 2: M_tot 0.0 μB per formula unit.